[1]
Material: Nd2ErCd4
Method: DFT, PBE-GGA
State: relaxed

The space group is I4/mmm (No. 139) and the conventional cell measures 5.593, 5.593 and 15.924 Å, with angles of 90.00, 90.00 and 90.00 degrees. The distinct sites, in fractional coordinates, are Nd at (0.000, 0.000, 0.108), Er at (0.000, 0.000, 0.500), Cd at (0.000, 0.000, 0.311) and Cd at (0.000, 0.500, 0.000).

The calculation puts the density at 6.0 g cm⁻³. The calculation puts the formation energy at 0.218 eV/atom.

---

[2]
Material: NaTi3As
Method: DFT, PBE-GGA
State: relaxed

The space group is Pm-3m (No. 221) and the conventional cell measures 4.826, 4.826 and 4.826 Å, with angles of 90.00, 90.00 and 90.00 degrees. The distinct sites, in fractional coordinates, are Na at (0.000, 0.000, 0.000), Ti at (0.000, 0.500, 0.500) and As at (0.500, 0.500, 0.500).

The calculation puts the density at 3.6 g cm⁻³. The calculation puts the formation energy at 0.339 eV/atom.

---

[3]
Material: Cs2Cu3Br8
Method: DFT, PBE-GGA
State: relaxed

The space group is P4/mmm (No. 123) and the conventional cell measures 5.065, 5.065 and 15.667 Å, with angles of 90.00, 90.00 and 90.00 degrees. The distinct sites, in fractional coordinates, are Cs at (0.000, 0.000, 0.183), Cu at (0.500, 0.500, 0.000), Cu at (0.500, 0.500, 0.338), Br at (0.000, 0.500, 0.000), Br at (0.000, 0.500, 0.362) and Br at (0.500, 0.500, 0.171).

The value obtained for the raw formation energy is -683 meV/atom. The calculation puts the density at 4.5 g cm⁻³.

---

For each record above, in turn, the calculated total energy values are -32.5 -28.0 -36.3 eV/cell.
For each record above, in turn, the calculated E above lowest polymorph values are 0.352 0.000 0.042 eV per atom.